Record 1
{
  "formula": "LaZn11Ru",
  "functional": "PBE",
  "state": "relaxed",
  "formation_enthalpy_0k_ev_per_atom": -0.19,
  "rho_g_cm3": 7.48,
  "n_ef_per_ev_cell": 5.1,
  "lattice_angstrom": [[2.561, -6.518, 0.000], [2.561, 6.518, 0.000], [-2.514, 0.000, 6.378]],
  "species": ["La", "Zn", "Zn", "Zn", "Zn", "Zn", "Zn", "Zn", "Zn", "Zn", "Zn", "Zn", "Ru"],
  "frac_coords": [[0.000, 0.000, 0.000], [0.000, 0.500, 0.000], [0.013, 0.665, 0.639], [0.268, 0.495, 0.773], [0.335, 0.987, 0.361], [0.495, 0.268, 0.773], [0.500, 0.000, 0.000], [0.500, 0.500, 0.500], [0.505, 0.732, 0.227], [0.665, 0.013, 0.639], [0.732, 0.505, 0.227], [0.987, 0.335, 0.361], [0.000, 0.000, 0.500]]
}

***

Record 2
{
  "formula": "La2Zn2Ru",
  "functional": "PBE",
  "state": "relaxed",
  "de_polymorph_kj_per_mol_atoms": 24.3,
  "formation_enthalpy_0k_ev_per_atom": -0.08,
  "rho_g_cm3": 7.44,
  "n_ef_per_ev_cell": 11.3,
  "lattice_angstrom": [[6.998, 0.000, 0.000], [0.000, 6.998, 0.000], [0.000, 0.000, 4.648]],
  "species": ["La", "La", "La", "La", "Zn", "Zn", "Zn", "Zn", "Ru", "Ru"],
  "frac_coords": [[0.181, 0.319, 0.000], [0.319, 0.819, 0.000], [0.681, 0.181, 0.000], [0.819, 0.681, 0.000], [0.131, 0.631, 0.500], [0.369, 0.131, 0.500], [0.631, 0.869, 0.500], [0.869, 0.369, 0.500], [0.000, 0.000, 0.500], [0.500, 0.500, 0.500]]
}

***

Record 3
{
  "formula": "La4Zn2Ru",
  "functional": "PBE",
  "state": "relaxed",
  "formation_enthalpy_0k_ev_per_atom": -0.27,
  "rho_g_cm3": 6.62,
  "n_ef_per_ev_cell": 7.6,
  "lattice_angstrom": [[5.569, -2.424, 0.000], [5.569, 2.424, 0.000], [-4.719, 0.000, 7.315]],
  "species": ["La", "La", "La", "La", "Zn", "Zn", "Ru"],
  "frac_coords": [[0.078, 0.078, 0.355], [0.323, 0.323, 0.935], [0.677, 0.677, 0.065], [0.922, 0.922, 0.645], [0.367, 0.367, 0.338], [0.633, 0.633, 0.662], [0.000, 0.000, 0.000]]
}

***

Record 4
{
  "formula": "LaZn6Ru2",
  "functional": "PBE",
  "state": "relaxed",
  "formation_enthalpy_0k_ev_per_atom": -0.05,
  "rho_g_cm3": 7.62,
  "n_ef_per_ev_cell": 5.2,
  "lattice_angstrom": [[-2.154, 3.337, 5.561], [2.154, -3.337, 5.561], [2.154, 3.337, -5.561]],
  "species": ["La", "Zn", "Zn", "Zn", "Zn", "Zn", "Zn", "Ru", "Ru"],
  "frac_coords": [[0.000, 0.000, 0.000], [0.089, 0.281, 0.807], [0.322, 0.500, 0.822], [0.474, 0.281, 0.193], [0.526, 0.719, 0.807], [0.678, 0.500, 0.178], [0.911, 0.719, 0.193], [0.384, 0.884, 0.500], [0.616, 0.116, 0.500]]
}

***

Record 5
{
  "formula": "La6Zn2Ru",
  "functional": "PBE",
  "state": "relaxed",
  "formation_enthalpy_0k_ev_per_atom": -0.22,
  "rho_g_cm3": 6.72,
  "n_ef_per_ev_cell": 11.0,
  "lattice_angstrom": [[3.934, 0.000, 0.000], [0.000, 7.756, 4.315], [0.000, -7.756, 4.315]],
  "species": ["La", "La", "La", "La", "La", "La", "Zn", "Zn", "Ru"],
  "frac_coords": [[0.000, 0.000, 0.000], [0.000, 0.527, 0.775], [0.000, 0.775, 0.527], [0.500, 0.178, 0.778], [0.500, 0.353, 0.353], [0.500, 0.778, 0.178], [0.000, 0.108, 0.439], [0.000, 0.439, 0.108], [0.500, 0.720, 0.720]]
}

***

Record 6
{
  "formula": "La2Zn2Ru",
  "functional": "PBE",
  "state": "relaxed",
  "de_polymorph_kj_per_mol_atoms": 0.0,
  "formation_enthalpy_0k_ev_per_atom": -0.33,
  "rho_g_cm3": 6.87,
  "n_ef_per_ev_cell": 7.6,
  "lattice_angstrom": [[3.956, 0.000, 0.000], [1.965, 5.767, 0.000], [1.971, 0.207, 10.796]],
  "species": ["La", "La", "La", "La", "Zn", "Zn", "Zn", "Zn", "Ru", "Ru"],
  "frac_coords": [[0.080, 0.201, 0.139], [0.211, 0.698, 0.377], [0.789, 0.302, 0.623], [0.920, 0.799, 0.861], [0.382, 0.650, 0.087], [0.491, 0.131, 0.387], [0.509, 0.869, 0.613], [0.618, 0.350, 0.913], [0.276, 0.147, 0.800], [0.724, 0.853, 0.200]]
}

***

Record 7
{
  "formula": "LaZrZnRu2",
  "functional": "PBE",
  "state": "relaxed",
  "formation_enthalpy_0k_ev_per_atom": 0.90,
  "rho_g_cm3": 7.50,
  "n_ef_per_ev_cell": 6.8,
  "lattice_angstrom": [[4.705, 0.000, 0.000], [0.000, 4.705, 0.000], [0.000, 0.000, 4.978]],
  "species": ["La", "Zr", "Zn", "Ru", "Ru"],
  "frac_coords": [[0.000, 0.000, 0.000], [0.500, 0.500, 0.000], [0.000, 0.000, 0.500], [0.000, 0.500, 0.500], [0.500, 0.000, 0.500]]
}

***

Record 8
{
  "formula": "La2ZrZnRu",
  "functional": "PBE",
  "state": "relaxed",
  "formation_enthalpy_0k_ev_per_atom": 0.09,
  "rho_g_cm3": 5.83,
  "n_ef_per_ev_cell": 6.6,
  "lattice_angstrom": [[5.497, 0.000, 0.000], [0.000, 5.497, 0.000], [0.000, 0.000, 5.047]],
  "species": ["La", "La", "Zr", "Zn", "Ru"],
  "frac_coords": [[0.000, 0.500, 0.000], [0.500, 0.000, 0.000], [0.000, 0.000, 0.500], [0.500, 0.500, 0.500], [0.000, 0.000, 0.000]]
}

***

Record 9
{
  "formula": "LaZrRu4",
  "functional": "PBE",
  "state": "relaxed",
  "formation_enthalpy_0k_ev_per_atom": -0.15,
  "rho_g_cm3": 9.77,
  "n_ef_per_ev_cell": 4.8,
  "lattice_angstrom": [[0.000, 3.777, 3.777], [3.777, 0.000, 3.777], [3.777, 3.777, 0.000]],
  "species": ["La", "Zr", "Ru", "Ru", "Ru", "Ru"],
  "frac_coords": [[0.000, 0.000, 0.000], [0.250, 0.250, 0.250], [0.127, 0.624, 0.624], [0.624, 0.127, 0.624], [0.624, 0.624, 0.127], [0.624, 0.624, 0.624]]
}

***

Record 10
{
  "formula": "La2ZrRu",
  "functional": "PBE",
  "state": "relaxed",
  "de_polymorph_kj_per_mol_atoms": 37.1,
  "formation_enthalpy_0k_ev_per_atom": 0.25,
  "rho_g_cm3": 7.08,
  "n_ef_per_ev_cell": 11.2,
  "lattice_angstrom": [[-4.281, 4.281, 3.011], [4.281, -4.281, 3.011], [4.281, 4.281, -3.011]],
  "species": ["La", "La", "La", "La", "Zr", "Zr", "Ru", "Ru"],
  "frac_coords": [[0.056, 0.125, 0.431], [0.375, 0.944, 0.069], [0.694, 0.625, 0.569], [0.875, 0.306, 0.931], [0.250, 0.750, 0.500], [0.500, 0.500, 0.000], [0.000, 0.000, 0.000], [0.750, 0.250, 0.500]]
}

***

Record 11
{
  "formula": "La2ZrRu",
  "functional": "PBE",
  "state": "relaxed",
  "de_polymorph_kj_per_mol_atoms": 14.7,
  "formation_enthalpy_0k_ev_per_atom": 0.02,
  "rho_g_cm3": 7.58,
  "n_ef_per_ev_cell": 3.2,
  "lattice_angstrom": [[-1.871, 2.651, 5.193], [1.871, -2.651, 5.193], [1.871, 2.651, -5.193]],
  "species": ["La", "La", "Zr", "Ru"],
  "frac_coords": [[0.202, 0.202, 0.000], [0.798, 0.798, 0.000], [0.500, 0.000, 0.500], [0.000, 0.500, 0.500]]
}

***

Record 12
{
  "formula": "La2ZrRu",
  "functional": "PBE",
  "state": "relaxed",
  "de_polymorph_kj_per_mol_atoms": 22.0,
  "formation_enthalpy_0k_ev_per_atom": 0.09,
  "rho_g_cm3": 7.52,
  "n_ef_per_ev_cell": 4.8,
  "lattice_angstrom": [[3.521, 0.000, 0.000], [0.000, 3.521, 0.000], [0.000, 0.000, 8.376]],
  "species": ["La", "La", "Zr", "Ru"],
  "frac_coords": [[0.000, 0.000, 0.213], [0.000, 0.000, 0.787], [0.500, 0.500, 0.500], [0.500, 0.500, 0.000]]
}